This record from Alexandria describes a relaxed Pm2BeGa7 crystal. The functional is PBE.

```
Pm2BeGa7
1.0
4.240 0.000 0.000
0.000 4.240 0.000
0.000 0.000 10.622
Pm Be Ga
2 1 7
direct
0.000 0.500 0.241
0.500 0.000 0.759
0.500 0.500 0.000
0.000 0.000 0.000
0.000 0.000 0.500
0.000 0.500 0.642
0.000 0.500 0.875
0.500 0.000 0.125
0.500 0.000 0.358
0.500 0.500 0.500
```

- E_form: -375 meV per atom
- Symmetry: P-4m2
- M_tot: 0.0 μB/cell

This record from Alexandria describes a relaxed Pm2BeGa crystal. The functional is PBE.

```
Pm2BeGa
1.0
3.569 0.000 0.000
0.000 3.569 0.000
0.000 0.000 7.256
Pm Be Ga
2 1 1
direct
0.000 0.000 0.233
0.000 0.000 0.767
0.500 0.500 0.000
0.500 0.500 0.500
```

- E_form: -189 meV per atom
- Symmetry: P4/mmm
- M_tot: 0.0 μB/cell

This record from Alexandria describes a relaxed PmBeGa3 crystal. The functional is PBE.

```
PmBeGa3
1.0
2.943 -2.940 0.000
2.943 2.940 0.000
-2.932 0.000 5.124
Pm Be Ga
1 1 3
direct
0.000 0.000 0.000
0.624 0.624 0.245
0.241 0.742 0.482
0.400 0.400 0.800
0.742 0.241 0.482
```

- E_form: -443 meV per atom
- Symmetry: Cm
- M_tot: 0.0 μB/cell

This record from Alexandria describes a relaxed PmPrBeGa crystal. The functional is PBE.

```
PmPrBeGa
1.0
0.000 3.626 3.626
3.626 0.000 3.626
3.626 3.626 0.000
Pm Pr Be Ga
1 1 1 1
direct
0.000 0.000 0.000
0.500 0.500 0.500
0.250 0.250 0.250
0.750 0.750 0.750
```

- E_form: -157 meV per atom
- Symmetry: F-43m
- M_tot: 0.0 μB/cell

This record from Alexandria describes a relaxed Pm2BeGa3Pt4 crystal. The functional is PBE.

```
Pm2BeGa3Pt4
1.0
4.159 0.000 0.000
0.000 4.159 0.000
0.000 0.000 10.683
Pm Be Ga Pt
2 1 3 4
direct
0.000 0.500 0.241
0.500 0.000 0.759
0.500 0.500 0.000
0.000 0.000 0.000
0.000 0.500 0.638
0.500 0.000 0.362
0.000 0.000 0.500
0.000 0.500 0.874
0.500 0.000 0.126
0.500 0.500 0.500
```

- E_form: -903 meV per atom
- Symmetry: P-4m2
- M_tot: 0.0 μB/cell

This record from Alexandria describes a relaxed Pm2BeGa2Pt4 crystal. The functional is PBE.

```
Pm2BeGa2Pt4
1.0
-3.213 3.213 4.050
3.213 -3.213 4.050
3.213 3.213 -4.050
Pm Be Ga Pt
2 1 2 4
direct
0.250 0.750 0.500
0.750 0.250 0.500
0.000 0.000 0.000
0.315 0.315 0.000
0.685 0.685 0.000
0.254 0.254 0.507
0.254 0.746 0.000
0.746 0.254 0.000
0.746 0.746 0.493
```

- E_form: -798 meV per atom
- Symmetry: I4/mmm
- M_tot: 0.0 μB/cell

This record from Alexandria describes a relaxed Pm2Be3GaPt4 crystal. The functional is PBE.

```
Pm2Be3GaPt4
1.0
4.111 0.000 0.000
0.000 4.111 0.000
0.000 0.000 9.907
Pm Be Ga Pt
2 3 1 4
direct
0.000 0.500 0.244
0.500 0.000 0.756
0.000 0.500 0.883
0.500 0.000 0.117
0.500 0.500 0.500
0.000 0.000 0.500
0.000 0.000 0.000
0.000 0.500 0.644
0.500 0.000 0.356
0.500 0.500 0.000
```

- E_form: -894 meV per atom
- Symmetry: P-4m2
- M_tot: 0.0 μB/cell

This record from Alexandria describes a relaxed Pm2BeGa4Pt3 crystal. The functional is PBE.

```
Pm2BeGa4Pt3
1.0
4.197 0.000 0.000
0.000 4.197 0.000
0.000 0.000 10.672
Pm Be Ga Pt
2 1 4 3
direct
0.000 0.500 0.246
0.500 0.000 0.754
0.500 0.500 0.000
0.000 0.000 0.500
0.000 0.500 0.873
0.500 0.000 0.127
0.500 0.500 0.500
0.000 0.000 0.000
0.000 0.500 0.638
0.500 0.000 0.362
```

- E_form: -813 meV per atom
- Symmetry: P-4m2
- M_tot: 0.0 μB/cell

This record from Alexandria describes a relaxed PmBeGaPt2 crystal. The functional is PBE.

```
PmBeGaPt2
1.0
-2.001 2.001 5.669
2.001 -2.001 5.669
2.001 2.001 -5.669
Pm Be Ga Pt
1 1 1 2
direct
0.000 0.000 0.000
0.750 0.250 0.500
0.250 0.750 0.500
0.379 0.379 0.000
0.621 0.621 0.000
```

- E_form: -834 meV per atom
- Symmetry: I-4m2
- M_tot: 0.0 μB/cell

This record from Alexandria describes a relaxed Pm2Be4GaPt3 crystal. The functional is PBE.

```
Pm2Be4GaPt3
1.0
4.041 0.000 0.000
0.000 4.041 0.000
0.000 0.000 9.820
Pm Be Ga Pt
2 4 1 3
direct
0.000 0.500 0.249
0.500 0.000 0.751
0.000 0.000 0.000
0.000 0.500 0.635
0.500 0.000 0.365
0.500 0.500 0.000
0.000 0.000 0.500
0.000 0.500 0.882
0.500 0.000 0.118
0.500 0.500 0.500
```

- E_form: -723 meV per atom
- Symmetry: P-4m2
- M_tot: 0.0 μB/cell

This record from Alexandria describes a relaxed Pm2Be2GaRh5 crystal. The functional is PBE.

```
Pm2Be2GaRh5
1.0
9.669 0.000 0.000
0.000 9.669 0.000
0.000 0.000 3.310
Pm Be Ga Rh
4 4 2 10
direct
0.177 0.323 0.000
0.323 0.823 0.000
0.677 0.177 0.000
0.823 0.677 0.000
0.120 0.620 0.000
0.380 0.120 0.000
0.620 0.880 0.000
0.880 0.380 0.000
0.000 0.000 0.000
0.500 0.500 0.000
0.000 0.500 0.500
0.066 0.788 0.500
0.212 0.066 0.500
0.288 0.566 0.500
0.434 0.288 0.500
0.500 0.000 0.500
0.566 0.712 0.500
0.712 0.434 0.500
0.788 0.934 0.500
0.934 0.212 0.500
```

- E_form: -718 meV per atom
- Symmetry: P4/mbm
- M_tot: 0.0 μB/cell

This record from Alexandria describes a relaxed Pm3BeGa2Rh3 crystal. The functional is PBE.

```
Pm3BeGa2Rh3
1.0
7.311 0.000 0.000
-3.655 6.332 0.000
0.000 0.000 3.754
Pm Be Ga Rh
3 1 2 3
direct
0.000 0.622 0.000
0.378 0.378 0.000
0.622 0.000 0.000
0.000 0.000 0.000
0.333 0.667 0.500
0.667 0.333 0.500
0.000 0.226 0.500
0.226 0.000 0.500
0.774 0.774 0.500
```

- E_form: -622 meV per atom
- Symmetry: P-62m
- M_tot: 0.0 μB/cell